Entry 1:
# Y2AsPb

A relaxed Y2AsPb crystal (PBE-GGA, Alexandria).

Geometry as CIF:
```
data_Y2AsPb
_symmetry_space_group_name_H-M 'P 1 2/m 1'
_symmetry_Int_Tables_number 10
_cell_length_a 4.272
_cell_length_b 4.327
_cell_length_c 6.075
_cell_angle_alpha 90.00
_cell_angle_beta 90.66
_cell_angle_gamma 90.00
loop_
_symmetry_equiv_pos_as_xyz
'x,y,z'
'-x,-y,-z'
'-x,y,-z'
'x,-y,z'
loop_
_atom_site_label
_atom_site_fract_x
_atom_site_fract_y
_atom_site_fract_z
_atom_site_occupancy
Y1 0.000 0.000 0.000 1
Y2 0.500 0.500 0.500 1
As1 0.000 0.000 0.500 1
Pb1 0.500 0.500 0.000 1
```

Properties
calculated formation energy = -0.86 eV per atom
DOS at the Fermi energy = 2.6 states/eV/f.u.
VASP energy = -24.72 eV for the cell shown



Entry 2:
# La7Pr5

A relaxed La7Pr5 crystal (PBE-GGA, Alexandria).

Geometry as CIF:
```
data_La7Pr5
_symmetry_space_group_name_H-M 'C 1 2/m 1'
_symmetry_Int_Tables_number 12
_cell_length_a 9.943
_cell_length_b 6.068
_cell_length_c 15.159
_cell_angle_alpha 90.00
_cell_angle_beta 104.49
_cell_angle_gamma 90.00
loop_
_symmetry_equiv_pos_as_xyz
'x,y,z'
'-x,-y,-z'
'-x,y,-z'
'x,-y,z'
'x+1/2,y+1/2,z'
'-x+1/2,-y+1/2,-z'
'-x+1/2,y+1/2,-z'
'x+1/2,-y+1/2,z'
loop_
_atom_site_label
_atom_site_fract_x
_atom_site_fract_y
_atom_site_fract_z
_atom_site_occupancy
La1 0.000 0.000 0.000 1
La2 0.037 0.500 0.714 1
La3 0.180 0.000 0.586 1
La4 0.245 0.500 0.172 1
Pr1 0.000 0.500 0.500 1
Pr2 0.122 0.000 0.298 1
Pr3 0.130 0.500 0.939 1
```

Properties
calculated formation energy = 0.12 eV per atom
DOS at the Fermi energy = 17.3 states/eV/f.u.
VASP energy = -113.89 eV for the cell shown



Entry 3:
# TlFeAg2

A relaxed TlFeAg2 crystal (PBE-GGA, Alexandria).

Geometry as CIF:
```
data_TlFeAg2
_symmetry_space_group_name_H-M 'I -4 m 2'
_symmetry_Int_Tables_number 119
_symmetry_space_group_name_Hall 'I -4 -2'
_cell_length_a 4.417
_cell_length_b 4.417
_cell_length_c 7.501
_cell_angle_alpha 90.00
_cell_angle_beta 90.00
_cell_angle_gamma 90.00
loop_
_atom_site_label
_atom_site_fract_x
_atom_site_fract_y
_atom_site_fract_z
_atom_site_occupancy
Tl1 0.000 0.000 0.000 1
Fe1 0.000 0.500 0.250 1
Ag1 0.000 0.000 0.500 1
Ag2 0.000 0.500 0.750 1
```

Properties
calculated formation energy = 0.43 eV per atom
DOS at the Fermi energy = 4.0 states/eV/f.u.
VASP energy = -29.65 eV for the cell shown



Entry 4:
# Pm3Nd4In2

A relaxed Pm3Nd4In2 crystal (PBE-GGA, Alexandria).

Geometry as CIF:
```
data_Pm3Nd4In2
_symmetry_space_group_name_H-M 'C 1 2/c 1'
_symmetry_Int_Tables_number 15
_cell_length_a 16.045
_cell_length_b 11.773
_cell_length_c 6.209
_cell_angle_alpha 90.00
_cell_angle_beta 97.49
_cell_angle_gamma 90.00
loop_
_symmetry_equiv_pos_as_xyz
'x,y,z'
'-x,-y,-z'
'-x,y,-z+1/2'
'x,-y,z+1/2'
'x+1/2,y+1/2,z'
'-x+1/2,-y+1/2,-z'
'-x+1/2,y+1/2,-z+1/2'
'x+1/2,-y+1/2,z+1/2'
loop_
_atom_site_label
_atom_site_fract_x
_atom_site_fract_y
_atom_site_fract_z
_atom_site_occupancy
Pm1 0.000 0.114 0.250 1
Pm2 0.173 0.360 0.076 1
Nd1 0.063 0.372 0.536 1
Nd2 0.205 0.114 0.402 1
In1 0.100 0.134 0.820 1
```

Properties
calculated formation energy = -0.14 eV per atom
DOS at the Fermi energy = 12.3 states/eV/f.u.
VASP energy = -160.10 eV for the cell shown



Entry 5:
# TlAgTe2

A relaxed TlAgTe2 crystal (PBE-GGA, Alexandria).

Geometry as CIF:
```
data_TlAgTe2
_symmetry_space_group_name_H-M 'P n m a'
_symmetry_Int_Tables_number 62
_cell_length_a 9.203
_cell_length_b 4.211
_cell_length_c 13.941
_cell_angle_alpha 90.00
_cell_angle_beta 90.00
_cell_angle_gamma 90.00
loop_
_symmetry_equiv_pos_as_xyz
'x,y,z'
'-x,-y,-z'
'-x+1/2,-y,z+1/2'
'x+1/2,y,-z+1/2'
'x+1/2,-y+1/2,-z+1/2'
'-x+1/2,y+1/2,z+1/2'
'-x,y+1/2,-z'
'x,-y+1/2,z'
loop_
_atom_site_label
_atom_site_fract_x
_atom_site_fract_y
_atom_site_fract_z
_atom_site_occupancy
Tl1 0.133 0.250 0.076 1
Ag1 0.238 0.750 0.342 1
Te1 0.124 0.250 0.445 1
Te2 0.135 0.750 0.748 1
```

Properties
raw formation energy = -0.05 eV/atom
DOS at the Fermi energy = 1.8 states/eV/f.u.
VASP energy = -46.84 eV for the cell shown



Entry 6:
# Cd4Sb5

A relaxed Cd4Sb5 crystal (PBE-GGA, Alexandria).

Geometry as CIF:
```
data_Cd4Sb5
_symmetry_space_group_name_H-M 'P 63/m c m'
_symmetry_Int_Tables_number 193
_symmetry_space_group_name_Hall '-P 6c 2'
_cell_length_a 8.7825
_cell_length_b 8.7825
_cell_length_c 7.3614
_cell_angle_alpha 90.00
_cell_angle_beta 90.00
_cell_angle_gamma 120.00
loop_
_atom_site_label
_atom_site_fract_x
_atom_site_fract_y
_atom_site_fract_z
_atom_site_occupancy
Cd1 0.0000 0.0000 0.0000 1
Cd2 0.0000 0.2781 0.2500 1
Sb1 0.0000 0.3873 0.7500 1
Sb2 0.3333 0.6667 0.0000 1
```

Properties
raw formation energy = 0.17 eV/atom
DOS at the Fermi energy = 4.5 states/eV/f.u.
VASP energy = -45.50 eV for the cell shown



Entry 7:
# LiTl3P

A relaxed LiTl3P crystal (PBE-GGA, Alexandria).

Geometry as CIF:
```
data_LiTl3P
_symmetry_space_group_name_H-M 'P m -3 m'
_symmetry_Int_Tables_number 221
_symmetry_space_group_name_Hall '-P 4 2 3'
_cell_length_a 5.408
_cell_length_b 5.408
_cell_length_c 5.408
_cell_angle_alpha 90.00
_cell_angle_beta 90.00
_cell_angle_gamma 90.00
loop_
_atom_site_label
_atom_site_fract_x
_atom_site_fract_y
_atom_site_fract_z
_atom_site_occupancy
Li1 0.000 0.000 0.000 1
Tl1 0.000 0.500 0.500 1
P1 0.500 0.500 0.500 1
```

Properties
calculated formation energy = 0.34 eV per atom
DOS at the Fermi energy = 3.8 states/eV/f.u.
VASP energy = -12.71 eV for the cell shown



Entry 8:
# Pm5Te2Ru2

A relaxed Pm5Te2Ru2 crystal (PBE-GGA, Alexandria).

Geometry as CIF:
```
data_Pm5Te2Ru2
_symmetry_space_group_name_H-M 'C m c e'
_symmetry_Int_Tables_number 64
_symmetry_space_group_name_Hall '-C 2ac 2'
_cell_length_a 16.045
_cell_length_b 7.971
_cell_length_c 7.885
_cell_angle_alpha 90.00
_cell_angle_beta 90.00
_cell_angle_gamma 90.00
loop_
_atom_site_label
_atom_site_fract_x
_atom_site_fract_y
_atom_site_fract_z
_atom_site_occupancy
Pm1 0.000 0.000 0.000 1
Pm2 0.117 0.162 0.341 1
Te1 0.208 0.000 0.000 1
Ru1 0.000 0.141 0.638 1
```

Properties
raw formation energy = -0.74 eV/atom
DOS at the Fermi energy = 6.2 states/eV/f.u.
VASP energy = -221.11 eV for the cell shown